This record from Alexandria describes an optimized crystal structure of LiBe3Te. The functional is GGA-PBE.

For the volume, the calculation gives 14.46 Å³/atom. The calculation puts the energy relative to the lowest polymorph listed for this composition at 0.000 eV/f.u.

The structure belongs to space group Pm-3m (No. 221); the cell edges are 4.1663, 4.1663 and 4.1663 Å and the angles 90.00°, 90.00° and 90.00°. The inequivalent atoms are Li at (0.0000, 0.0000, 0.0000), Be at (0.0000, 0.0000, 0.5000) and Te at (0.5000, 0.5000, 0.5000).


This record from Alexandria describes an optimized crystal structure of Li2BeTe. The functional is GGA-PBE.

For the volume, the calculation gives 18.56 Å³/atom. The calculation puts the energy relative to the lowest polymorph listed for this composition at 0.376 eV/f.u.

The structure belongs to space group Imm2 (No. 44); the cell edges are 3.7771, 4.2088 and 9.3404 Å and the angles 90.00°, 90.00° and 90.00°. The inequivalent atoms are Li at (0.0000, 0.0000, 0.0000), Li at (0.0000, 0.5000, 0.2256), Be at (0.0000, 0.0000, 0.4605) and Te at (0.0000, 0.5000, 0.7880).


This record from Alexandria describes an optimized crystal structure of LiBeTe. The functional is GGA-PBE.

For the volume, the calculation gives 19.65 Å³/atom. The calculation puts the energy relative to the lowest polymorph listed for this composition at 0.578 eV/f.u.

The structure belongs to space group I4mm (No. 107); the cell edges are 3.6160, 3.6160 and 9.0163 Å and the angles 90.00°, 90.00° and 90.00°. The inequivalent atoms are Li at (0.0000, 0.0000, 0.0000), Be at (0.0000, 0.0000, 0.2799) and Te at (0.0000, 0.0000, 0.6979).